(1)
Below is RbTm4PuS8 after structural relaxation, with properties calculated at the GGA-PBE level.

Summary:
Formation energy from raw total energies: -1.798 eV per atom
N(E_F): 0.579 states/eV per atom
Final energy: -91.376 eV per formula unit

```
data_RbTm4PuS8
_cell_length_a 8.1525
_cell_length_b 8.1525
_cell_length_c 20.4286
_cell_angle_alpha 90.00
_cell_angle_beta 90.00
_cell_angle_gamma 120.00
_space_group_name_H-M_alt 'R 3 m'
_space_group_IT_number 160
_space_group_name_Hall 'R 3 -2"'
loop_
_atom_site_label
_atom_site_type_symbol
_atom_site_fract_x
_atom_site_fract_y
_atom_site_fract_z
Rb1 Rb 0.0000 0.0000 0.0000
Tm1 Tm 0.0000 0.0000 0.7473
Tm2 Tm 0.0113 0.5057 0.8736
Pu1 Pu 0.0000 0.0000 0.3690
S1 S 0.0000 0.0000 0.1422
S2 S 0.0000 0.0000 0.6158
S3 S 0.0143 0.5072 0.1277
S4 S 0.1917 0.3834 0.9473
```

---

(2)
Below is Li2NiP after structural relaxation, with properties calculated at the GGA-PBE level.

Summary:
N(E_F): 0.708 states/eV per atom
Energy of formation: -0.1450 eV per atom
Final energy: -15.599 eV per formula unit

```
data_Li2NiP
_cell_length_a 2.536
_cell_length_b 2.536
_cell_length_c 7.753
_cell_angle_alpha 90.00
_cell_angle_beta 90.00
_cell_angle_gamma 90.00
_space_group_name_H-M_alt 'P 4/m m m'
_space_group_IT_number 123
_space_group_name_Hall '-P 4 2'
loop_
_atom_site_label
_atom_site_type_symbol
_atom_site_fract_x
_atom_site_fract_y
_atom_site_fract_z
Li1 Li 0.000 0.000 0.245
Ni1 Ni 0.500 0.500 0.500
P1 P 0.500 0.500 0.000
```

---

V: 1176; 50 (Å³/cell)